No. 1
A plane-wave DFT calculation with PBE was carried out for an optimized crystal structure of LiZr2Sc.

The structure in POSCAR format:
```
LiZr2Sc
1.0
4.067 0.000 0.000
0.000 4.067 0.000
2.033 2.033 10.871
Sc Zr Li
2 4 2
Direct
0.750 0.250 0.500 Sc
0.000 0.000 0.000 Sc
0.133 0.625 0.250 Zr
0.875 0.867 0.750 Zr
0.617 0.125 0.250 Zr
0.375 0.383 0.750 Zr
0.250 0.750 0.500 Li
0.500 0.500 0.000 Li
```

Properties
E_tot (eV per cell): -46.80
Spin magnetization (μB/cell): 0.0
SG: I-42d (122)



No. 2
A plane-wave DFT calculation with PBE was carried out for an optimized crystal structure of Tb3CuPd2.

The structure in POSCAR format:
```
Tb3CuPd2
1.0
4.966 0.000 0.000
-2.483 4.301 0.000
0.000 0.000 12.220
Pd Cu Tb
4 2 6
Direct
0.000 0.000 0.000 Pd
0.333 0.667 0.170 Pd
0.667 0.333 0.830 Pd
0.000 0.000 0.500 Pd
0.333 0.667 0.667 Cu
0.667 0.333 0.333 Cu
0.333 0.667 0.916 Tb
0.667 0.333 0.084 Tb
0.333 0.667 0.417 Tb
0.667 0.333 0.583 Tb
0.000 0.000 0.251 Tb
0.000 0.000 0.749 Tb
```

Properties
E_tot (eV per cell): -64.61
Spin magnetization (μB/cell): 0.0
SG: P-3m1 (164)



No. 3
A plane-wave DFT calculation with PBE was carried out for an optimized crystal structure of Ag2Pd2Se.

The structure in POSCAR format:
```
Ag2Pd2Se
1.0
7.772 0.000 0.000
0.000 7.772 0.000
0.000 0.000 3.010
Pd Ag Se
4 4 2
Direct
0.664 0.836 0.500 Pd
0.836 0.336 0.500 Pd
0.336 0.164 0.500 Pd
0.164 0.664 0.500 Pd
0.633 0.133 0.000 Ag
0.367 0.867 0.000 Ag
0.133 0.367 0.000 Ag
0.867 0.633 0.000 Ag
0.500 0.500 0.000 Se
0.000 0.000 0.000 Se
```

Properties
E_tot (eV per cell): -37.21
Spin magnetization (μB/cell): 0.0
Formation energy (no corrections) (meV per atom): 193
SG: P4/mbm (127)
Polymorph energy (0 for the lowest one) (kJ per mole of atoms): 20.5